# Ba3Y2MoO9 PBE+U optimized geometry
data_Ba3Y2MoO9
_chemical_formula_sum 'Ba12 Y8 Mo4 O36'
_space_group_name_H-M_alt 'I m m m'
_space_group_IT_number 71
_space_group_name_Hall '-I 2 2'
_cell_length_a 6.101
_cell_length_b 8.647
_cell_length_c 18.293
_cell_angle_alpha 90.00
_cell_angle_beta 90.00
_cell_angle_gamma 90.00
loop_
_atom_site_label
_atom_site_type_symbol
_atom_site_fract_x
_atom_site_fract_y
_atom_site_fract_z
Ba1 Ba 0.000 0.237 0.000
Ba2 Ba 0.000 0.259 0.339
Y1 Y 0.000 0.000 0.172
Y2 Y 0.000 0.000 0.500
Y3 Y 0.000 0.500 0.500
Mo1 Mo 0.000 0.500 0.165
O1 O 0.000 0.246 0.500
O2 O 0.000 0.272 0.170
O3 O 0.226 0.500 0.089
O4 O 0.230 0.500 0.239
O5 O 0.250 0.000 0.090
# Raw total energy ... -7.477 eV per atom
# Size of the total moment ... 0.0 μB per cell